Computed, not measured: CsVMo2O8 after structural relaxation at the GGA+U level of DFT.

Unit cell a=5.808 b=5.808 c=8.280 alpha=90.00 beta=90.00 gamma=120.00
Positions (direct):
Cs 0.000 0.000 0.000
V 0.000 0.000 0.500
Mo 0.333 0.667 0.291
Mo 0.667 0.333 0.709
O 0.162 0.324 0.359
O 0.162 0.838 0.359
O 0.324 0.162 0.641
O 0.333 0.667 0.079
O 0.667 0.333 0.921
O 0.676 0.838 0.359
O 0.838 0.162 0.641
O 0.838 0.676 0.641

Summary:
Fermi-level density of states = 3.07 states/eV/f.u.
Electronic total energy = -0.2567 Ha/atom
Calculated volume = 241.8 Å³ per cell